Entry 1:
# Si3H (GGA-PBE, optimized geometry)
data_Si3H
_chemical_formula_sum 'Si6 H2'
_symmetry_space_group_name_H-M 'P -3 m 1'
_symmetry_Int_Tables_number 164
_symmetry_space_group_name_Hall '-P 3 2"'
_cell_length_a 3.8554
_cell_length_b 3.8554
_cell_length_c 11.8049
_cell_angle_alpha 90.00
_cell_angle_beta 90.00
_cell_angle_gamma 120.00
loop_
_atom_site_label
_atom_site_type_symbol
_atom_site_fract_x
_atom_site_fract_y
_atom_site_fract_z
Si1 Si 0.3333 0.6667 0.0338
Si2 Si 0.3333 0.6667 0.2352
Si3 Si 0.3333 0.6667 0.7000
H1 H 0.3333 0.6667 0.5726
# Energy above the most stable polymorph in this dataset, meV per atom: 0



Entry 2:
# PdPtAu4 (GGA-PBE, optimized geometry)
data_PdPtAu4
_chemical_formula_sum 'Pd2 Pt2 Au8'
_symmetry_space_group_name_H-M 'A m m 2'
_symmetry_Int_Tables_number 38
_cell_length_a 4.815
_cell_length_b 2.892
_cell_length_c 14.814
_cell_angle_alpha 90.00
_cell_angle_beta 90.00
_cell_angle_gamma 90.00
loop_
_symmetry_equiv_pos_as_xyz
'x,y,z'
'-x,-y,z'
'-x,y,z'
'x,-y,z'
'x,y+1/2,z+1/2'
'-x,-y+1/2,z+1/2'
'-x,y+1/2,z+1/2'
'x,-y+1/2,z+1/2'
loop_
_atom_site_label
_atom_site_type_symbol
_atom_site_fract_x
_atom_site_fract_y
_atom_site_fract_z
Pd1 Pd 0.000 0.000 0.000
Pt1 Pt 0.500 0.000 0.220
Au1 Au 0.000 0.000 0.334
Au2 Au 0.000 0.000 0.666
Au3 Au 0.500 0.000 0.554
Au4 Au 0.500 0.000 0.887
# ΔE_f, eV/atom: 0.01
# DOS(E_F), states/eV per cell: 5.7
# Energy above the most stable polymorph in this dataset, meV per atom: 0



Entry 3:
# La3NpSe6 (GGA-PBE, optimized geometry)
data_La3NpSe6
_chemical_formula_sum 'La6 Np2 Se12'
_symmetry_space_group_name_H-M 'P 1 21/m 1'
_symmetry_Int_Tables_number 11
_cell_length_a 11.951
_cell_length_b 4.295
_cell_length_c 12.269
_cell_angle_alpha 90.00
_cell_angle_beta 107.90
_cell_angle_gamma 90.00
loop_
_symmetry_equiv_pos_as_xyz
'x,y,z'
'-x,-y,-z'
'-x,y+1/2,-z'
'x,-y+1/2,z'
loop_
_atom_site_label
_atom_site_type_symbol
_atom_site_fract_x
_atom_site_fract_y
_atom_site_fract_z
La1 La 0.078 0.250 0.170
La2 La 0.183 0.750 0.507
La3 La 0.340 0.250 0.921
Np1 Np 0.456 0.250 0.315
Se1 Se 0.022 0.250 0.386
Se2 Se 0.095 0.250 0.930
Se3 Se 0.257 0.750 0.284
Se4 Se 0.317 0.750 0.752
Se5 Se 0.394 0.250 0.541
Se6 Se 0.417 0.750 0.106
# Formation energy (no corrections), meV/atom: -1755
# DOS(E_F), states/eV per cell: 16.4